(1)
Here is a crystal of RbLiPO2 relaxed with PBEsol from Alexandria. Energies are from SCAN.

abc: 4.8511 4.8511 6.1104
angles: 90.00 90.00 90.00
Last column: nearest neighbours and their distance in Å.
Fractional positions:
1 O 0.0000 0.5000 0.0000  2 Rb 2.43
2 Li 0.5000 0.5000 0.5000  4 P 3.43
3 P 0.0000 0.0000 0.5000  2 Rb 3.06
4 O 0.5000 0.0000 0.0000  2 Rb 2.43
5 Rb 0.0000 0.0000 0.0000  4 O 2.43

Properties
Space group: No. 123
Theoretical density in g cm⁻³: 1.794
ΔE_f (raw) in eV per atom: 0.73
DOS at the Fermi energy in states/eV/f.u.: 2.31

---

(2)
Here is a crystal of LiP4Ru2O14 relaxed with PBEsol from Alexandria. Energies are from SCAN.

abc: 4.7969 6.8030 8.0586
angles: 91.56 91.66 107.35
Last column: nearest neighbours and their distance in Å.
Fractional positions:
1 O 0.1454 0.8306 0.1589  1 P 1.51
2 P 0.9680 0.3541 0.7350  4 O 1.51-1.59
3 O 0.7164 0.4374 0.6884  1 P 1.52
4 O 0.8046 0.4714 0.1536  2 P 1.59-1.61
5 O 0.5118 0.2417 0.3734  1 P 1.54
6 Li 0.0000 0.0000 0.5000  2 O 2.04
7 O 0.2836 0.5626 0.3116  1 P 1.52
8 O 0.4882 0.7583 0.6266  1 P 1.54
9 O 0.6272 0.7905 0.9422  1 P 1.52
10 O 0.1279 0.2999 0.5837  1 P 1.55
11 Ru 0.0000 0.0000 0.0000  6 O 1.96-1.99
12 O 0.8546 0.1694 0.8411  1 P 1.51
13 O 0.3728 0.2095 0.0578  1 P 1.52
14 O 0.8721 0.7001 0.4163  1 P 1.55
15 P 0.3883 0.7589 0.8066  4 O 1.52-1.61
16 Ru 0.5000 0.5000 0.5000  6 O 1.94-2.04
17 O 0.1905 0.8999 0.8126  1 P 1.54
18 P 0.6117 0.2411 0.1934  4 O 1.52-1.61
19 O 0.8095 0.1001 0.1874  1 P 1.54
20 P 0.0320 0.6459 0.2650  4 O 1.51-1.59
21 O 0.1954 0.5286 0.8464  2 P 1.59-1.61

Properties
Space group: No. 2
Theoretical density in g cm⁻³: 3.689
ΔE_f (raw) in eV per atom: -2.07
DOS at the Fermi energy in states/eV/f.u.: 4.89

---

(3)
Here is a crystal of LiPSO2 relaxed with PBEsol from Alexandria. Energies are from SCAN.

abc: 3.4630 3.4630 5.3514
angles: 90.00 90.00 90.00
Last column: nearest neighbours and their distance in Å.
Fractional positions:
1 O 0.5000 0.0000 0.0000  2 Li 1.73
2 Li 0.0000 0.0000 0.0000  4 O 1.73
3 O 0.0000 0.5000 0.0000  2 Li 1.73
4 P 0.0000 0.0000 0.5000  4 S 2.45, 2 Li 2.68
5 S 0.5000 0.5000 0.5000  4 P 2.45

Properties
Space group: No. 123
Theoretical density in g cm⁻³: 2.639
ΔE_f (raw) in eV per atom: 0.37
DOS at the Fermi energy in states/eV/f.u.: 2.16

---

(4)
Here is a crystal of Li5Sb2P5O18 relaxed with PBEsol from Alexandria. Energies are from SCAN.

abc: 6.6772 9.3658 10.9336
angles: 82.23 89.99 89.13
Last column: nearest neighbours and their distance in Å.
Fractional positions:
1 O 0.4292 0.7868 0.7366  1 P 1.53
2 O 0.2621 0.1046 0.4833  1 P 1.51
3 O 0.2453 0.5727 0.6106  1 P 1.55
4 O 0.3565 0.0892 0.1116  1 P 1.55
5 Li 0.1876 0.1099 0.6525  4 O 1.91-2.06
6 O 0.5708 0.2132 0.2634  1 P 1.53
7 P 0.6860 0.5795 0.3301  4 O 1.53-1.58
8 O 0.0623 0.5802 0.1141  2 P 1.61-1.64
9 O 0.2040 0.8347 0.4770  1 P 1.57
10 O 0.7020 0.6117 0.9343  1 P 1.56
11 P 0.1747 0.7320 0.0979  4 O 1.52-1.61
12 P 0.5196 0.0737 0.2133  4 O 1.52-1.60
13 Sb 0.3419 0.2393 0.9437  4 O 2.07-2.27
14 Sb 0.2027 0.6329 0.4003  4 O 2.09-2.31
15 O 0.5793 0.0303 0.6753  2 P 1.60-1.61
16 O 0.6435 0.9108 0.8884  1 P 1.55
17 P 0.1418 0.4164 0.1658  4 O 1.51-1.64
18 O 0.9583 0.9756 0.6837  1 P 1.52
19 O 0.3883 0.4363 0.8016  1 P 1.55
20 P 0.8253 0.2680 0.9021  4 O 1.52-1.61
21 O 0.7379 0.8954 0.5167  1 P 1.51
22 O 0.9795 0.1556 0.9555  1 P 1.52
23 Li 0.1447 0.7723 0.6659  4 O 2.02-2.14
24 Li 0.4170 0.2775 0.4053  3 O 2.01-2.05
25 O 0.8500 0.6929 0.3256  1 P 1.53
26 O 0.2980 0.3883 0.0657  1 P 1.56
27 O 0.5148 0.6341 0.4130  1 P 1.58
28 O 0.0205 0.8444 0.0445  1 P 1.52
29 Li 0.5830 0.7225 0.5947  3 O 2.01-2.05
30 Li 0.8553 0.2277 0.3341  4 O 2.02-2.14
31 Sb 0.6581 0.7607 0.0563  4 O 2.07-2.27
32 O 0.9576 0.3249 0.1703  1 P 1.51
33 O 0.2557 0.7563 0.2241  1 P 1.53
34 P 0.8582 0.5836 0.8342  4 O 1.51-1.64
35 Li 0.3401 0.6235 0.8571  4 O 1.95-2.05
36 O 0.0424 0.6751 0.8297  1 P 1.51
37 O 0.6465 0.2799 0.9907  1 P 1.55
38 O 0.7443 0.2437 0.7759  1 P 1.53
39 O 0.2953 0.0098 0.8189  1 P 1.52
40 Li 0.0101 0.9580 0.8669  4 O 2.02-2.21
41 O 0.2421 0.4201 0.2907  1 P 1.53
42 O 0.7047 0.9902 0.1811  1 P 1.52
43 O 0.9377 0.4198 0.8859  2 P 1.61-1.64
44 P 0.2201 0.9895 0.4025  4 O 1.51-1.61
45 Li 0.8124 0.8901 0.3475  4 O 1.91-2.06
46 O 0.6117 0.5637 0.1984  1 P 1.55
47 P 0.4804 0.9263 0.7867  4 O 1.52-1.60
48 Li 0.6599 0.3765 0.1429  4 O 1.95-2.05
49 O 0.7579 0.5799 0.7093  1 P 1.53
50 O 0.4207 0.9697 0.3247  2 P 1.60-1.61
51 P 0.3140 0.4205 0.6699  4 O 1.53-1.58
52 O 0.4852 0.3659 0.5870  1 P 1.58
53 O 0.0417 0.0244 0.3163  1 P 1.52
54 O 0.1500 0.3071 0.6744  1 P 1.53
55 O 0.3535 0.7201 0.0093  1 P 1.55
56 O 0.7960 0.1653 0.5230  1 P 1.57
57 P 0.7799 0.0105 0.5975  4 O 1.51-1.61
58 O 0.7547 0.4273 0.3894  1 P 1.55
59 Li 0.9899 0.0420 0.1331  4 O 2.02-2.21
60 Sb 0.7973 0.3671 0.5997  4 O 2.09-2.31

Properties
Space group: No. 2
Theoretical density in g cm⁻³: 3.535
ΔE_f (raw) in eV per atom: -2.35
DOS at the Fermi energy in states/eV/f.u.: 0.00

---

(5)
Here is a crystal of LiSbP2O7 relaxed with PBEsol from Alexandria. Energies are from SCAN.

abc: 4.7883 7.4569 8.8614
angles: 90.00 90.00 106.11
Last column: nearest neighbours and their distance in Å.
Fractional positions:
1 O 0.2328 0.5383 0.2608  1 P 1.56
2 Sb 0.7955 0.2735 0.9361  3 O 2.07-2.19
3 P 0.2025 0.0785 0.7419  4 O 1.50-1.62
4 P 0.7975 0.9215 0.2419  4 O 1.50-1.62
5 O 0.9006 0.1103 0.7504  1 P 1.53
6 O 0.7672 0.4617 0.7608  1 P 1.56
7 O 0.2013 0.8840 0.6970  1 P 1.50
8 Li 0.8091 0.3486 0.2830  3 O 1.87-1.97
9 O 0.3808 0.5564 0.6156  1 P 1.53
10 O 0.7987 0.1160 0.1970  1 P 1.50
11 O 0.2339 0.5524 0.9727  1 P 1.51
12 O 0.7661 0.4476 0.4727  1 P 1.51
13 Sb 0.2045 0.7265 0.4361  3 O 2.07-2.19
14 O 0.6381 0.8553 0.3935  1 P 1.56
15 Li 0.1909 0.6514 0.7830  3 O 1.87-1.97
16 O 0.3619 0.1447 0.8935  1 P 1.56
17 O 0.0994 0.8897 0.2504  1 P 1.53
18 O 0.3849 0.2152 0.6128  2 P 1.61-1.62
19 O 0.6192 0.4436 0.1156  1 P 1.53
20 P 0.5812 0.4288 0.6130  4 O 1.51-1.61
21 P 0.4188 0.5712 0.1130  4 O 1.51-1.61
22 O 0.6151 0.7848 0.1128  2 P 1.61-1.62

Properties
Space group: No. 4
Theoretical density in g cm⁻³: 3.307
ΔE_f (raw) in eV per atom: -2.24
DOS at the Fermi energy in states/eV/f.u.: 0.00

---

(6)
Here is a crystal of LiSbPO5 relaxed with PBEsol from Alexandria. Energies are from SCAN.

abc: 8.3317 10.0857 10.4779
angles: 80.31 71.35 69.04
Last column: nearest neighbours and their distance in Å.
Fractional positions:
1 Li 0.1863 0.1701 0.0398  3 O 1.88-1.93
2 O 0.0061 0.2023 0.9565  1 Li 1.88, 1 Sb 1.90
3 O 0.3195 0.5499 0.4066  1 P 1.56
4 O 0.2436 0.0468 0.3053  2 Sb 1.94-2.08, 1 Li 2.00
5 Sb 0.2620 0.2502 0.2749  3 O 2.08-2.25
6 O 0.0630 0.4424 0.7961  1 P 1.59
7 O 0.4749 0.3017 0.5690  1 Sb 1.92, 1 Li 1.95
8 O 0.1131 0.2708 0.5195  1 P 1.53
9 O 0.9272 0.5366 0.2430  1 P 1.58
10 O 0.1009 0.7261 0.2846  1 P 1.56
11 O 0.3751 0.0854 0.7045  1 P 1.58
12 Li 0.9823 0.0880 0.3293  3 O 2.00-2.11
13 Sb 0.6984 0.7381 0.7466  5 O 2.13-2.32
14 O 0.6813 0.4232 0.3192  1 P 1.53
15 Li 0.2337 0.2908 0.6442  4 O 1.95-2.17
16 P 0.5775 0.1807 0.9566  4 O 1.54-1.57
17 O 0.6301 0.3047 0.9859  1 P 1.57
18 Sb 0.6227 0.1237 0.6295  6 O 1.91-2.11
19 O 0.9821 0.6555 0.5250  1 P 1.50
20 Li 0.4524 0.5009 0.9562  4 O 1.92-2.09
21 P 0.9130 0.2982 0.5843  4 O 1.53-1.58
22 O 0.7224 0.0377 0.9728  1 P 1.54
23 O 0.2398 0.6102 0.6937  1 P 1.51
24 O 0.9411 0.7903 0.0836  1 Li 1.87, 1 Sb 1.88
25 P 0.3253 0.9602 0.6712  4 O 1.51-1.58
26 O 0.1825 0.8109 0.4586  1 P 1.59
27 O 0.4519 0.7822 0.1837  1 P 1.57
28 P 0.1014 0.5796 0.8180  4 O 1.51-1.59
29 O 0.8169 0.4667 0.0736  1 P 1.56
30 Sb 0.8484 0.3759 0.9012  6 O 1.90-2.07
31 O 0.6216 0.9409 0.2705  1 P 1.55
32 O 0.8778 0.2802 0.7397  1 P 1.55
33 Sb 0.1198 0.6279 0.1261  6 O 1.88-2.08
34 O 0.3281 0.7078 0.0218  1 P 1.55
35 O 0.3950 0.1883 0.0597  1 P 1.54
36 P 0.6768 0.0622 0.2984  4 O 1.55-1.56
37 O 0.3868 0.9704 0.5143  1 P 1.55
38 P 0.8576 0.4222 0.2126  4 O 1.53-1.58
39 O 0.8542 0.1798 0.5478  1 P 1.58
40 O 0.5310 0.2068 0.2845  1 P 1.55
41 Li 0.4843 0.4325 0.2525  4 O 1.94-2.15
42 Sb 0.9932 0.9922 0.9898  5 O 2.12-2.31
43 O 0.5510 0.2093 0.8134  1 P 1.55
44 P 0.1444 0.6803 0.4230  4 O 1.50-1.59
45 O 0.1767 0.5402 0.9442  1 P 1.57
46 O 0.1267 0.9815 0.7236  1 P 1.51
47 Li 0.0178 0.8767 0.6601  2 O 1.92-1.98
48 O 0.8598 0.0574 0.1962  1 P 1.55
49 O 0.7556 0.9400 0.6892  1 Sb 1.91, 1 Li 1.98
50 Sb 0.4091 0.8706 0.3587  6 O 1.92-2.09
51 O 0.6685 0.5440 0.8617  1 Sb 1.91, 1 Li 1.92
52 O 0.0048 0.2756 0.2118  1 P 1.55
53 Sb 0.5076 0.5097 0.5238  6 O 2.16-2.37
54 O 0.5658 0.6983 0.4207  1 Sb 1.92, 1 Li 2.05
55 O 0.9252 0.7066 0.8436  1 P 1.54
56 O 0.3115 0.4640 0.1535  1 Sb 1.90, 2 Li 1.94-2.07
57 O 0.4325 0.8180 0.7292  1 P 1.54
58 Li 0.8249 0.6214 0.4318  4 O 1.97-2.08
59 O 0.5643 0.8261 0.9385  1 P 1.55
60 O 0.8008 0.4456 0.5391  1 P 1.54
61 Li 0.7589 0.8196 0.0032  4 O 1.87-2.09
62 O 0.2407 0.9666 0.0580  1 P 1.53
63 O 0.7155 0.0427 0.4373  1 P 1.56
64 P 0.3910 0.8241 0.0515  4 O 1.53-1.57

Properties
Relative energy among the computed polymorphs in eV per formula unit: 0.000
Space group: No. 1
Theoretical density in g cm⁻³: 4.095
ΔE_f (raw) in eV per atom: -2.09
DOS at the Fermi energy in states/eV/f.u.: 0.00